No. 1
BePSN2: optimized geometry, PBE.

E_form (uncorrected) (eV per atom): 0.589
Theoretical density (g/cm³): 2.41

abc: 3.233 3.233 6.592
angles: 90.00 90.00 90.00
Last column: magnetic moment on the atom in μB.
Fractional coordinates of all 5 atoms:
P (0.000, 0.000, 0.000)  -0.01
S (0.000, 0.000, 0.500)  0.00
Be (0.500, 0.500, 0.500)  0.00
N (0.500, 0.000, 0.000)  0.14
N (0.000, 0.500, 0.000)  0.14



No. 2
HoMgTl: optimized geometry, PBE.

Formation energy from the elements (meV/atom): -162
Theoretical density (g/cm³): 7.60

abc: 4.955 4.955 4.955
angles: 60.00 60.00 60.00
Fractional coordinates of all 3 atoms:
Tl (0.250, 0.250, 0.250)
Mg (0.500, 0.500, 0.500)
Ho (0.000, 0.000, 0.000)



No. 3
PmCu4As: optimized geometry, PBE.

Formation energy from the elements (meV/atom): -170
Theoretical density (g/cm³): 8.14

abc: 5.151 5.151 5.151
angles: 60.00 60.00 60.00
Fractional coordinates of all 6 atoms:
As (0.000, 0.000, 0.000)
Cu (0.626, 0.626, 0.123)
Cu (0.123, 0.626, 0.626)
Cu (0.626, 0.123, 0.626)
Cu (0.626, 0.626, 0.626)
Pm (0.250, 0.250, 0.250)



No. 4
Li2Ag5Au2: optimized geometry, PBE.

Formation energy from the elements (meV/atom): -43
Theoretical density (g/cm³): 9.86

abc: 6.919 5.650 9.306
angles: 107.67 111.82 90.00
Fractional coordinates of all 18 atoms:
Li (0.394, 0.082, 0.073)
Li (0.606, 0.009, 0.927)
Li (0.821, 0.509, 0.927)
Li (0.179, 0.582, 0.073)
Ag (0.414, 0.953, 0.322)
Ag (0.592, 0.131, 0.678)
Ag (0.586, 0.631, 0.678)
Ag (0.849, 0.896, 0.224)
Ag (0.801, 0.292, 0.500)
Ag (0.408, 0.453, 0.322)
Ag (0.125, 0.172, 0.776)
Ag (0.875, 0.396, 0.224)
Ag (0.199, 0.792, 0.500)
Ag (0.151, 0.672, 0.776)
Au (0.500, 0.513, 0.000)
Au (0.204, 0.289, 0.500)
Au (0.000, 0.013, 0.000)
Au (0.796, 0.789, 0.500)



No. 5
Y3Ga2Ir2: optimized geometry, PBE.

Formation energy from the elements (meV/atom): -826
Theoretical density (g/cm³): 8.78

abc: 5.587 7.789 13.751
angles: 90.00 90.00 90.00
Fractional coordinates of all 28 atoms:
Y (0.150, 0.899, 0.902)
Y (0.850, 0.399, 0.598)
Y (0.378, 0.263, 0.750)
Y (0.622, 0.737, 0.250)
Y (0.150, 0.601, 0.402)
Y (0.850, 0.101, 0.402)
Y (0.378, 0.237, 0.250)
Y (0.850, 0.399, 0.902)
Y (0.150, 0.601, 0.098)
Y (0.850, 0.101, 0.098)
Y (0.150, 0.899, 0.598)
Y (0.622, 0.763, 0.750)
Ir (0.352, 0.536, 0.594)
Ir (0.352, 0.964, 0.406)
Ir (0.648, 0.036, 0.906)
Ir (0.648, 0.036, 0.594)
Ir (0.648, 0.464, 0.406)
Ir (0.648, 0.464, 0.094)
Ir (0.352, 0.964, 0.094)
Ir (0.352, 0.536, 0.906)
Ga (0.120, 0.607, 0.750)
Ga (0.637, 0.750, 0.000)
Ga (0.363, 0.250, 0.000)
Ga (0.637, 0.750, 0.500)
Ga (0.880, 0.107, 0.750)
Ga (0.120, 0.893, 0.250)
Ga (0.363, 0.250, 0.500)
Ga (0.880, 0.393, 0.250)



No. 6
HfRhW3: optimized geometry, PBE.

Formation energy from the elements (meV/atom): 2602
Theoretical density (g/cm³): 13.10

abc: 4.727 4.727 4.727
angles: 90.00 90.00 90.00
Fractional coordinates of all 5 atoms:
W (0.000, 0.000, 0.500)
W (0.500, 0.000, 0.000)
W (0.000, 0.500, 0.000)
Rh (0.500, 0.500, 0.500)
Hf (0.000, 0.000, 0.000)



No. 7
Rb3Cu2AuCl9: optimized geometry, PBE.

E_form (uncorrected) (eV per atom): -1.045
Theoretical density (g/cm³): 4.02

abc: 7.044 7.044 8.639
angles: 90.00 90.00 120.00
Fractional coordinates of all 15 atoms:
Cl (0.500, 0.500, 0.000)
Cl (0.000, 0.500, 0.000)
Cl (0.172, 0.828, 0.328)
Cl (0.343, 0.172, 0.672)
Cl (0.172, 0.343, 0.328)
Cl (0.828, 0.172, 0.672)
Cl (0.657, 0.828, 0.328)
Cl (0.500, 0.000, 0.000)
Cl (0.828, 0.657, 0.672)
Rb (0.333, 0.667, 0.671)
Rb (0.000, 0.000, 0.000)
Rb (0.667, 0.333, 0.329)
Cu (0.333, 0.667, 0.159)
Cu (0.667, 0.333, 0.841)
Au (0.000, 0.000, 0.500)



No. 8
Ac2ReO7: optimized geometry, PBE.

E_form (uncorrected) (eV per atom): -2.369
Theoretical density (g/cm³): 8.16

abc: 7.456 6.958 7.960
angles: 76.95 58.54 60.48
Last column: magnetic moment on the atom in μB.
Fractional coordinates of all 20 atoms:
O (0.893, 0.971, 0.248)  0.01
O (0.962, 0.229, 0.495)  0.06
O (0.453, 0.270, 0.505)  0.10
O (0.863, 0.511, 0.748)  0.01
O (0.409, 0.752, 0.213)  0.17
O (0.203, 0.240, 0.976)  0.49
O (0.038, 0.771, 0.505)  0.06
O (0.682, 0.279, 0.041)  0.03
O (0.591, 0.248, 0.787)  0.17
O (0.137, 0.489, 0.252)  0.01
O (0.318, 0.721, 0.959)  0.03
O (0.547, 0.730, 0.495)  0.10
O (0.797, 0.760, 0.024)  0.49
O (0.107, 0.029, 0.752)  0.01
Ac (0.444, 0.074, 0.283)  0.00
Ac (0.215, 0.584, 0.745)  0.01
Ac (0.556, 0.926, 0.717)  0.00
Ac (0.785, 0.416, 0.255)  0.01
Re (0.154, 0.739, 0.234)  -0.02
Re (0.846, 0.261, 0.766)  -0.02



No. 9
NaGaSeO4: optimized geometry, PBE.

E_form (uncorrected) (eV per atom): -1.156
Theoretical density (g/cm³): 3.38

abc: 5.381 5.381 5.516
angles: 119.19 119.19 90.00
Fractional coordinates of all 7 atoms:
O (0.884, 0.453, 0.238)
O (0.354, 0.785, 0.238)
O (0.215, 0.116, 0.762)
O (0.547, 0.646, 0.762)
Na (0.000, 0.000, 0.000)
Ga (0.250, 0.750, 0.500)
Se (0.500, 0.500, 0.000)



No. 10
Pr2Zn7Cd: optimized geometry, PBE.

Formation energy from the elements (meV/atom): -293
Theoretical density (g/cm³): 7.02

abc: 4.332 4.332 10.739
angles: 90.00 90.00 90.00
Fractional coordinates of all 10 atoms:
Zn (0.000, 0.000, 0.000)
Zn (0.500, 0.500, 0.500)
Zn (0.500, 0.000, 0.376)
Zn (0.000, 0.000, 0.500)
Zn (0.500, 0.000, 0.147)
Zn (0.000, 0.500, 0.624)
Zn (0.000, 0.500, 0.853)
Pr (0.000, 0.500, 0.264)
Pr (0.500, 0.000, 0.736)
Cd (0.500, 0.500, 0.000)



No. 11
PrAl4Pb: optimized geometry, PBE.

Formation energy from the elements (meV/atom): -163
Theoretical density (g/cm³): 5.75

abc: 5.711 5.711 5.711
angles: 60.00 60.00 60.00
Fractional coordinates of all 6 atoms:
Al (0.625, 0.124, 0.625)
Al (0.625, 0.625, 0.625)
Al (0.625, 0.625, 0.124)
Al (0.124, 0.625, 0.625)
Pr (0.250, 0.250, 0.250)
Pb (0.000, 0.000, 0.000)



No. 12
La3NdCo2: optimized geometry, PBE.

Formation energy from the elements (meV/atom): -90
Theoretical density (g/cm³): 6.36

abc: 4.098 8.720 10.499
angles: 80.14 78.59 76.45
Fractional coordinates of all 12 atoms:
La (0.689, 0.679, 0.942)
La (0.311, 0.321, 0.058)
La (0.816, 0.817, 0.555)
La (0.184, 0.183, 0.445)
La (0.940, 0.928, 0.193)
La (0.060, 0.072, 0.807)
Co (0.375, 0.877, 0.374)
Co (0.625, 0.123, 0.626)
Co (0.874, 0.373, 0.878)
Co (0.126, 0.627, 0.122)
Nd (0.438, 0.433, 0.693)
Nd (0.562, 0.567, 0.307)



> Among the records above, which one has the highest theoretical density?

HfRhW3